Entry 1:
# BaAg12Sn7, relaxed, DFT PBE
# crystal system = trigonal
# M_tot = 0.00 Bohr magnetons per cell
# ΔE_f = -2 kJ/mol of atoms
data_BaAg12Sn7
_cell_length_a 14.7271
_cell_length_b 14.7271
_cell_length_c 7.2741
_cell_angle_alpha 90.00
_cell_angle_beta 90.00
_cell_angle_gamma 120.00
_symmetry_space_group_name_H-M 'R -3 m'
_symmetry_Int_Tables_number 166
_symmetry_space_group_name_Hall '-R 3 2"'
loop_
_atom_site_label
_atom_site_fract_x
_atom_site_fract_y
_atom_site_fract_z
Ba1 0.0000 0.0000 0.0000
Ag1 0.0000 0.2650 0.0000
Ag2 0.1059 0.5529 0.9495
Sn1 0.0000 0.0000 0.5000
Sn2 0.0988 0.5494 0.3512

---

Entry 2:
# Ba3Ag3Sn8, relaxed, DFT PBE
# crystal system = monoclinic
# M_tot = 0.00 Bohr magnetons per cell
# ΔE_f = -36 kJ/mol of atoms
data_Ba3Ag3Sn8
_cell_length_a 18.053
_cell_length_b 5.156
_cell_length_c 10.789
_cell_angle_alpha 90.00
_cell_angle_beta 125.43
_cell_angle_gamma 90.00
_symmetry_space_group_name_H-M 'C 1 2/m 1'
_symmetry_Int_Tables_number 12
loop_
_symmetry_equiv_pos_as_xyz
'x,y,z'
'-x,-y,-z'
'-x,y,-z'
'x,-y,z'
'x+1/2,y+1/2,z'
'-x+1/2,-y+1/2,-z'
'-x+1/2,y+1/2,-z'
'x+1/2,-y+1/2,z'
loop_
_atom_site_label
_atom_site_fract_x
_atom_site_fract_y
_atom_site_fract_z
Ba1 0.000 0.000 0.000
Ba2 0.196 0.500 0.690
Ag1 0.000 0.000 0.500
Ag2 0.163 0.500 0.309
Sn1 0.003 0.500 0.309
Sn2 0.141 0.000 0.419
Sn3 0.150 0.000 0.872
Sn4 0.151 0.500 0.029

---

Entry 3:
# Ba2Ag5Sn4, relaxed, DFT PBE
# crystal system = orthorhombic
# M_tot = 0.00 Bohr magnetons per cell
# ΔE_f = -22 kJ/mol of atoms
data_Ba2Ag5Sn4
_cell_length_a 6.729
_cell_length_b 10.497
_cell_length_c 17.209
_cell_angle_alpha 90.00
_cell_angle_beta 90.00
_cell_angle_gamma 90.00
_symmetry_space_group_name_H-M 'F m m m'
_symmetry_Int_Tables_number 69
_symmetry_space_group_name_Hall '-F 2 2'
loop_
_atom_site_label
_atom_site_fract_x
_atom_site_fract_y
_atom_site_fract_z
Ba1 0.000 0.000 0.144
Ag1 0.000 0.000 0.500
Ag2 0.250 0.250 0.000
Ag3 0.250 0.250 0.250
Sn1 0.000 0.146 0.366

---

Entry 4:
# BaTbAgSn, relaxed, DFT PBE
# crystal system = cubic
# M_tot = 0.00 Bohr magnetons per cell
# ΔE_f = -36 kJ/mol of atoms
data_BaTbAgSn
_cell_length_a 7.907
_cell_length_b 7.907
_cell_length_c 7.907
_cell_angle_alpha 90.00
_cell_angle_beta 90.00
_cell_angle_gamma 90.00
_symmetry_space_group_name_H-M 'F -4 3 m'
_symmetry_Int_Tables_number 216
_symmetry_space_group_name_Hall 'F -4 2 3'
loop_
_atom_site_label
_atom_site_fract_x
_atom_site_fract_y
_atom_site_fract_z
Ba1 0.000 0.000 0.000
Tb1 0.000 0.000 0.500
Ag1 0.250 0.250 0.750
Sn1 0.250 0.250 0.250

---

Entry 5:
# BaAgSn2Te4, relaxed, DFT PBE
# crystal system = orthorhombic
# uncorrected formation energy = -4.4 eV/f.u.
# M_tot = 0.00 Bohr magnetons per cell
data_BaAgSn2Te4
_cell_length_a 4.646
_cell_length_b 14.504
_cell_length_c 16.087
_cell_angle_alpha 90.00
_cell_angle_beta 90.00
_cell_angle_gamma 90.00
_symmetry_space_group_name_H-M 'C m c m'
_symmetry_Int_Tables_number 63
_symmetry_space_group_name_Hall '-C 2c 2'
loop_
_atom_site_label
_atom_site_fract_x
_atom_site_fract_y
_atom_site_fract_z
Ba1 0.000 0.123 0.250
Ag1 0.000 0.158 0.750
Sn1 0.000 0.370 0.063
Te1 0.000 0.000 0.000
Te2 0.000 0.273 0.608
Te3 0.000 0.446 0.250

---

Entry 6:
# BaTlAgSn, relaxed, DFT PBE
# crystal system = cubic
# M_tot = 0.00 Bohr magnetons per cell
# ΔE_f = -24 kJ/mol of atoms
data_BaTlAgSn
_cell_length_a 7.803
_cell_length_b 7.803
_cell_length_c 7.803
_cell_angle_alpha 90.00
_cell_angle_beta 90.00
_cell_angle_gamma 90.00
_symmetry_space_group_name_H-M 'F -4 3 m'
_symmetry_Int_Tables_number 216
_symmetry_space_group_name_Hall 'F -4 2 3'
loop_
_atom_site_label
_atom_site_fract_x
_atom_site_fract_y
_atom_site_fract_z
Ba1 0.000 0.000 0.000
Tl1 0.250 0.250 0.750
Ag1 0.250 0.250 0.250
Sn1 0.000 0.000 0.500